Entry 1:
# GaOsI2O, relaxed, DFT PBE-GGA
data_GaOsI2O
_cell_length_a 5.515
_cell_length_b 5.515
_cell_length_c 3.484
_cell_angle_alpha 90.00
_cell_angle_beta 90.00
_cell_angle_gamma 90.00
_symmetry_space_group_name_H-M 'P 1'
_symmetry_Int_Tables_number 1
loop_
_symmetry_equiv_pos_as_xyz
'x,y,z'
loop_
_atom_site_label
_atom_site_type_symbol
_atom_site_fract_x
_atom_site_fract_y
_atom_site_fract_z
_atom_site_occupancy
Os1 Os 0.500 0.500 0.500 1
I1 I 0.500 0.000 0.000 1
I2 I 0.000 0.500 0.000 1
Ga1 Ga 0.000 0.000 0.000 1
O1 O 0.000 0.000 0.500 1
# * spin magnetization: 0.1329 μB per atom
# * SG: No. 123
# * formation energy (no corrections): 0.692 eV per atom
# * DOS at the Fermi energy: 0.722 states/eV/atom
# * uncorrected energy: -3.771 eV per atom

=====

Entry 2:
# SrTaCr2, relaxed, DFT PBE-GGA
data_SrTaCr2
_cell_length_a 4.797
_cell_length_b 4.797
_cell_length_c 4.797
_cell_angle_alpha 60.00
_cell_angle_beta 60.00
_cell_angle_gamma 60.00
_symmetry_space_group_name_H-M 'P 1'
_symmetry_Int_Tables_number 1
loop_
_symmetry_equiv_pos_as_xyz
'x,y,z'
loop_
_atom_site_label
_atom_site_type_symbol
_atom_site_fract_x
_atom_site_fract_y
_atom_site_fract_z
_atom_site_occupancy
Cr1 Cr 0.250 0.250 0.250 1
Cr2 Cr 0.000 0.000 0.000 1
Ta1 Ta 0.750 0.750 0.750 1
Sr1 Sr 0.500 0.500 0.500 1
# * DFT formation energy: 1.17 eV per atom
# * spin magnetization: 0.4400 μB per atom
# * SG: No. 216
# * DOS at the Fermi energy: 1.625 states/eV/atom
# * uncorrected energy: -7.024 eV per atom